Density functional theory data (PBE+U) for EuTlMo2O8 after structural relaxation.

Output
- space group = Pbcn (60)
- VASP energy (eV per formula unit) = -88.3
- magnetic moment (μB/f.u.) = 5.98

Unit cell a=5.250 b=18.969 c=8.249 alpha=90.00 beta=90.00 gamma=90.00
Fractional positions:
Eu (0.000, 0.008, 0.250)
Eu (0.000, 0.992, 0.750)
Eu (0.500, 0.492, 0.750)
Eu (0.500, 0.508, 0.250)
Tl (0.000, 0.229, 0.750)
Tl (0.000, 0.771, 0.250)
Tl (0.500, 0.271, 0.250)
Tl (0.500, 0.729, 0.750)
Mo (0.015, 0.398, 0.022)
Mo (0.015, 0.602, 0.522)
Mo (0.485, 0.102, 0.522)
Mo (0.485, 0.898, 0.022)
Mo (0.515, 0.102, 0.978)
Mo (0.515, 0.898, 0.478)
Mo (0.985, 0.398, 0.478)
Mo (0.985, 0.602, 0.978)
O (0.110, 0.312, 0.475)
O (0.110, 0.688, 0.975)
O (0.221, 0.401, 0.849)
O (0.221, 0.599, 0.349)
O (0.234, 0.408, 0.194)
O (0.234, 0.592, 0.694)
O (0.246, 0.463, 0.506)
O (0.246, 0.537, 0.006)
O (0.254, 0.037, 0.006)
O (0.254, 0.963, 0.506)
O (0.266, 0.092, 0.694)
O (0.266, 0.908, 0.194)
O (0.279, 0.099, 0.349)
O (0.279, 0.901, 0.849)
O (0.390, 0.188, 0.975)
O (0.390, 0.812, 0.475)
O (0.610, 0.188, 0.525)
O (0.610, 0.812, 0.025)
O (0.721, 0.099, 0.151)
O (0.721, 0.901, 0.651)
O (0.734, 0.092, 0.806)
O (0.734, 0.908, 0.306)
O (0.746, 0.037, 0.494)
O (0.746, 0.963, 0.994)
O (0.754, 0.463, 0.994)
O (0.754, 0.537, 0.494)
O (0.766, 0.408, 0.306)
O (0.766, 0.592, 0.806)
O (0.779, 0.401, 0.651)
O (0.779, 0.599, 0.151)
O (0.890, 0.312, 0.025)
O (0.890, 0.688, 0.525)